[1]
Li8I6Cl | PBE-GGA | relaxed

Cell: 8.199 8.199 8.199 Å, 101.34 101.34 101.34°
Fractional positions:
Li: 0.200 0.200 0.200
Li: 0.800 0.800 0.800
Li: 0.174 0.445 0.620
Li: 0.620 0.174 0.445
Li: 0.445 0.620 0.174
Li: 0.826 0.555 0.380
Li: 0.380 0.826 0.555
Li: 0.555 0.380 0.826
I: 0.550 0.304 0.148
I: 0.148 0.550 0.304
I: 0.304 0.148 0.550
I: 0.450 0.696 0.852
I: 0.852 0.450 0.696
I: 0.696 0.852 0.450
Cl: 0.000 0.000 0.000

Values from the calculation:
Fermi-level density of states	4.50	states/eV/f.u.
E_form (uncorrected)	-102.0	kJ per mole of atoms
magnetization	0.00	μB per formula unit



[2]
Er5P12Ru19 | PBE-GGA | relaxed

Cell: 12.504 12.504 3.971 Å, 90.00 90.00 120.00°
Fractional positions:
Er: 0.183 0.183 0.500
Er: 0.817 0.000 0.500
Er: 0.000 0.817 0.500
Er: 0.333 0.667 0.000
Er: 0.667 0.333 0.000
P: 0.816 0.816 0.000
P: 0.184 0.000 0.000
P: 0.000 0.184 0.000
P: 0.172 0.478 0.500
P: 0.522 0.694 0.500
P: 0.306 0.828 0.500
P: 0.694 0.522 0.500
P: 0.828 0.306 0.500
P: 0.478 0.172 0.500
P: 0.372 0.372 0.000
P: 0.628 0.000 0.000
P: 0.000 0.628 0.000
Ru: 0.555 0.555 0.000
Ru: 0.445 0.000 0.000
Ru: 0.000 0.445 0.000
Ru: 0.718 0.718 0.500
Ru: 0.282 0.000 0.500
Ru: 0.000 0.282 0.500
Ru: 0.185 0.377 0.000
Ru: 0.623 0.809 0.000
Ru: 0.191 0.815 0.000
Ru: 0.809 0.623 0.000
Ru: 0.815 0.191 0.000
Ru: 0.377 0.185 0.000
Ru: 0.366 0.492 0.500
Ru: 0.508 0.874 0.500
Ru: 0.126 0.634 0.500
Ru: 0.874 0.508 0.500
Ru: 0.634 0.126 0.500
Ru: 0.492 0.366 0.500
Ru: 0.000 0.000 0.000

Values from the calculation:
ΔE_f	-0.86	eV/atom
Fermi-level density of states	21.82	states/eV/f.u.
magnetization	0.00	μB per formula unit



[3]
NiRh2Cl | PBE-GGA | relaxed

Cell: 4.323 4.323 4.323 Å, 60.00 60.00 60.00°
Site moments in Bohr magnetons follow the coordinates.
Fractional positions:
Ni: 0.500 0.500 0.500  0.84
Rh: 0.250 0.250 0.250  0.92
Rh: 0.750 0.750 0.750  0.92
Cl: 0.000 0.000 0.000  0.07

Values from the calculation:
Fermi-level density of states	4.58	states/eV/f.u.
E_form (uncorrected)	61.9	kJ per mole of atoms
magnetization	2.72	μB per formula unit
energy relative to the lowest polymorph listed for this composition	419	meV per atom



[4]
EuPuSbPb | PBE-GGA | relaxed

Cell: 5.501 5.501 5.501 Å, 60.00 60.00 60.00°
Site moments in Bohr magnetons follow the coordinates.
Fractional positions:
Pb: 0.500 0.500 0.500  0.00
Eu: 0.250 0.250 0.250  6.85
Sb: 0.000 0.000 0.000  -0.03
Pu: 0.750 0.750 0.750  5.51

Values from the calculation:
Fermi-level density of states	14.74	states/eV/f.u.
E_form (uncorrected)	-41.0	kJ per mole of atoms
magnetization	12.96	μB per formula unit



[5]
Tb6Pm2Nd3Pu | PBE-GGA | relaxed

Cell: 6.239 6.239 11.825 Å, 95.06 95.06 120.06°
Site moments in Bohr magnetons follow the coordinates.
Fractional positions:
Tb: 0.918 0.589 0.754  0.04
Tb: 0.753 0.753 0.247  0.05
Tb: 0.082 0.411 0.246  0.04
Tb: 0.589 0.918 0.754  0.04
Tb: 0.247 0.247 0.753  0.05
Tb: 0.411 0.082 0.246  0.04
Pm: 0.333 0.667 0.000  0.04
Pm: 0.667 0.333 0.000  0.04
Nd: 0.167 0.833 0.500  -0.01
Nd: 0.833 0.167 0.500  -0.01
Nd: 0.500 0.500 0.500  -0.01
Pu: 0.000 0.000 0.000  5.58

Values from the calculation:
ΔE_f	0.04	eV/atom
Fermi-level density of states	23.31	states/eV/f.u.
magnetization	6.51	μB per formula unit



[6]
Na3ZrS | PBE-GGA | relaxed

Cell: 5.349 5.349 5.349 Å, 90.00 90.00 90.00°
Site moments in Bohr magnetons follow the coordinates.
Fractional positions:
Na: 0.000 0.500 0.000  0.01
Na: 0.000 0.000 0.500  0.02
Na: 0.500 0.000 0.000  0.01
S: 0.000 0.000 0.000  0.01
Zr: 0.500 0.500 0.500  1.61

Values from the calculation:
Fermi-level density of states	10.11	states/eV/f.u.
E_form (uncorrected)	31.9	kJ per mole of atoms
magnetization	3.03	μB per formula unit
energy relative to the lowest polymorph listed for this composition	0	meV per atom



[7]
Li2AcTi3O8 | PBE-GGA | relaxed

Cell: 6.088 6.088 6.703 Å, 62.99 62.99 60.00°
Site moments in Bohr magnetons follow the coordinates.
Fractional positions:
Li: 0.079 0.079 0.764  0.00
Li: 0.526 0.526 0.423  0.00
Ac: 0.867 0.867 0.400  0.01
Ti: 0.498 0.015 0.988  0.30
Ti: 0.015 0.498 0.988  0.30
Ti: 0.498 0.498 0.988  0.30
O: 0.274 0.274 0.179  -0.01
O: 0.728 0.728 0.816  0.00
O: 0.246 0.246 0.802  0.00
O: 0.706 0.246 0.802  0.00
O: 0.246 0.706 0.802  0.00
O: 0.749 0.312 0.190  0.00
O: 0.312 0.749 0.190  0.00
O: 0.749 0.749 0.190  0.00

Values from the calculation:
Fermi-level density of states	3.73	states/eV/f.u.
E_form (uncorrected)	-271.1	kJ per mole of atoms
magnetization	0.99	μB per formula unit



[8]
Tb6Sm2Y3 | PBE-GGA | relaxed

Cell: 4.757 4.757 16.938 Å, 98.07 98.07 90.00°
Fractional positions:
Tb: 0.121 0.621 0.241
Tb: 0.621 0.121 0.241
Tb: 0.879 0.379 0.759
Tb: 0.379 0.879 0.759
Tb: 0.694 0.694 0.388
Tb: 0.306 0.306 0.612
Sm: 0.454 0.454 0.908
Sm: 0.546 0.546 0.092
Y: 0.000 0.000 0.000
Y: 0.798 0.798 0.596
Y: 0.202 0.202 0.404

Values from the calculation:
ΔE_f	0.27	eV/atom
Fermi-level density of states	15.77	states/eV/f.u.
magnetization	0.00	μB per formula unit
energy relative to the lowest polymorph listed for this composition	83	meV per atom



[9]
CrIr2Rh | PBE-GGA | relaxed

Cell: 8.849 8.849 8.849 Å, 17.62 17.62 17.62°
Fractional positions:
Cr: 0.750 0.750 0.750
Ir: 0.004 0.004 0.004
Ir: 0.250 0.250 0.250
Rh: 0.496 0.496 0.496

Values from the calculation:
ΔE_f	-0.01	eV/atom
Fermi-level density of states	5.82	states/eV/f.u.
magnetization	0.00	μB per formula unit



[10]
TbTh2Be2Pt7 | PBE-GGA | relaxed

Cell: 4.411 4.411 12.040 Å, 81.99 81.99 97.12°
Fractional positions:
Tb: 0.000 0.000 0.000
Th: 0.806 0.806 0.377
Th: 0.194 0.194 0.623
Be: 0.694 0.694 0.817
Be: 0.306 0.306 0.183
Pt: 0.500 0.500 0.000
Pt: 0.305 0.305 0.373
Pt: 0.695 0.695 0.627
Pt: 0.837 0.405 0.186
Pt: 0.405 0.837 0.186
Pt: 0.595 0.163 0.814
Pt: 0.163 0.595 0.814

Values from the calculation:
ΔE_f	-0.98	eV/atom
Fermi-level density of states	3.17	states/eV/f.u.
magnetization	0.00	μB per formula unit



[11]
CaTbF4 | PBE-GGA | relaxed

Cell: 6.408 6.408 6.408 Å, 110.88 110.88 106.68°
Site moments in Bohr magnetons follow the coordinates.
Fractional positions:
Ca: 0.256 0.256 0.000  0.01
Ca: 0.006 0.506 0.500  0.01
Tb: 0.741 0.741 0.000  0.42
Tb: 0.491 0.991 0.500  0.42
F: 0.243 0.931 0.688  0.02
F: 0.758 0.445 0.687  0.01
F: 0.681 0.493 0.188  0.02
F: 0.195 0.008 0.187  0.01
F: 0.305 0.493 0.812  0.02
F: 0.821 0.008 0.813  0.01
F: 0.758 0.071 0.313  0.01
F: 0.243 0.555 0.312  0.02

Values from the calculation:
Fermi-level density of states	2.04	states/eV/f.u.
E_form (uncorrected)	-345.0	kJ per mole of atoms
magnetization	0.77	μB per formula unit



[12]
MnCuP2 | PBE-GGA | relaxed

Cell: 2.680 2.787 6.904 Å, 89.99 90.00 90.00°
Fractional positions:
Cu: 0.500 0.250 0.250
Mn: 0.500 0.750 0.750
P: 0.000 0.250 0.952
P: 0.000 0.250 0.548

Values from the calculation:
ΔE_f	-0.06	eV/atom
Fermi-level density of states	1.26	states/eV/f.u.
magnetization	0.00	μB per formula unit



[13]
Pm2CdGa3Pt4 | PBE-GGA | relaxed

Cell: 4.127 4.127 11.628 Å, 90.00 90.00 90.00°
Fractional positions:
Pm: 0.500 0.000 0.245
Pm: 0.000 0.500 0.755
Cd: 0.500 0.500 0.500
Ga: 0.000 0.000 0.500
Ga: 0.500 0.000 0.872
Ga: 0.000 0.500 0.128
Pt: 0.500 0.500 0.000
Pt: 0.000 0.000 0.000
Pt: 0.500 0.000 0.659
Pt: 0.000 0.500 0.341

Values from the calculation:
ΔE_f	-0.87	eV/atom
Fermi-level density of states	5.63	states/eV/f.u.
magnetization	0.00	μB per formula unit



[14]
La2SiS | PBE-GGA | relaxed

Cell: 6.464 6.464 8.389 Å, 67.34 67.34 90.00°
Fractional positions:
S: 0.000 0.000 0.000
S: 0.750 0.250 0.500
Si: 0.500 0.500 0.000
Si: 0.250 0.750 0.500
La: 0.631 0.125 0.250
La: 0.119 0.625 0.250
La: 0.375 0.369 0.750
La: 0.875 0.881 0.750

Values from the calculation:
Fermi-level density of states	0.00	states/eV/f.u.
E_form (uncorrected)	-90.8	kJ per mole of atoms
magnetization	0.00	μB per formula unit
energy relative to the lowest polymorph listed for this composition	498	meV per atom



[15]
Pu4AgPt2Au | PBE-GGA | relaxed

Cell: 5.054 5.054 8.763 Å, 73.24 73.24 60.00°
Site moments in Bohr magnetons follow the coordinates.
Fractional positions:
Pu: 0.377 0.377 0.868  5.32
Pu: 0.873 0.873 0.382  5.42
Pu: 0.127 0.127 0.618  5.42
Pu: 0.623 0.623 0.132  5.32
Ag: 0.000 0.000 0.000  0.05
Pt: 0.744 0.744 0.767  -0.08
Pt: 0.256 0.256 0.233  -0.08
Au: 0.500 0.500 0.500  0.05

Values from the calculation:
ΔE_f	-0.43	eV/atom
Fermi-level density of states	36.30	states/eV/f.u.
magnetization	22.64	μB per formula unit



[16]
LaMnGe | PBE-GGA | relaxed

Cell: 4.211 4.211 8.219 Å, 104.84 104.84 90.00°
Site moments in Bohr magnetons follow the coordinates.
Fractional positions:
Ge: 0.104 0.104 0.208  -0.07
Ge: 0.896 0.896 0.792  -0.07
La: 0.336 0.336 0.671  -0.17
La: 0.664 0.664 0.329  -0.17
Mn: 0.500 0.000 0.000  3.38
Mn: 0.000 0.500 0.000  3.38

Values from the calculation:
ΔE_f	-0.41	eV/atom
Fermi-level density of states	2.00	states/eV/f.u.
magnetization	3.00	μB per formula unit



[17]
Li3Ag2 | PBE-GGA | relaxed

Cell: 4.488 4.488 5.505 Å, 90.00 90.00 120.00°
Fractional positions:
Ag: 0.667 0.333 0.132
Ag: 0.333 0.667 0.868
Li: 0.000 0.000 0.000
Li: 0.667 0.333 0.636
Li: 0.333 0.667 0.364

Values from the calculation:
ΔE_f	-0.10	eV/atom
Fermi-level density of states	1.45	states/eV/f.u.
magnetization	0.00	μB per formula unit
energy relative to the lowest polymorph listed for this composition	86	meV per atom



[18]
TlAuBr2 | PBE-GGA | relaxed

Cell: 7.507 7.507 7.507 Å, 147.24 147.24 47.00°
Fractional positions:
Tl: 0.500 0.500 0.000
Au: 0.750 0.250 0.500
Br: 0.000 0.000 0.000
Br: 0.250 0.750 0.500

Values from the calculation:
Fermi-level density of states	1.56	states/eV/f.u.
E_form (uncorrected)	-12.4	kJ per mole of atoms
magnetization	0.00	μB per formula unit
energy relative to the lowest polymorph listed for this composition	353	meV per atom



[19]
YGa2Ru | PBE-GGA | relaxed

Cell: 3.209 3.209 6.952 Å, 90.00 90.00 90.00°
Site moments in Bohr magnetons follow the coordinates.
Fractional positions:
Y: 0.500 0.500 0.500  0.22
Ru: 0.500 0.500 0.000  0.02
Ga: 0.000 0.000 0.804  0.00
Ga: 0.000 0.000 0.196  0.00

Values from the calculation:
ΔE_f	-0.43	eV/atom
Fermi-level density of states	1.87	states/eV/f.u.
magnetization	0.34	μB per formula unit



[20]
YHfPdRh | PBE-GGA | relaxed

Cell: 4.789 4.789 4.789 Å, 60.00 60.00 60.00°
Fractional positions:
Y: 0.250 0.250 0.250
Rh: 0.000 0.000 0.000
Hf: 0.750 0.750 0.750
Pd: 0.500 0.500 0.500

Values from the calculation:
ΔE_f	-0.73	eV/atom
Fermi-level density of states	4.93	states/eV/f.u.
magnetization	0.00	μB per formula unit